1.
Computed, not measured: LaPrO2 after structural relaxation at the PBE-GGA level of DFT.

Computed properties:
DOS(E_F) in states/eV/cell: 1.23
Energy relative to the lowest polymorph listed for this composition in eV per atom: 0.120
Energy in eV for the cell shown: -90.841
Crystal system: trigonal
Uncorrected formation energy in eV per formula unit: -10.7

a = 3.5866 Å, b = 3.5866 Å, c = 18.5233 Å
α = 90.00°, β = 90.00°, γ = 120.00°
Space group R3m (No. 160, hexagonal axes)
Asymmetric unit:
La 0.0000 0.0000 0.0000 (multiplicity 3)
Pr 0.0000 0.0000 0.1776 (multiplicity 3)
O 0.0000 0.0000 0.4225 (multiplicity 3)
O 0.0000 0.0000 0.5899 (multiplicity 3)

---

2.
Computed, not measured: CeYNp2P4 after structural relaxation at the PBE-GGA level of DFT.

Computed properties:
DOS(E_F) in states/eV/cell: 21.21
Energy in eV for the cell shown: -69.597
Crystal system: monoclinic

a = 6.934 Å, b = 4.005 Å, c = 6.942 Å
α = 90.00°, β = 109.47°, γ = 90.00°
Space group P2/m (No. 10)
Asymmetric unit:
Ce 0.000 0.000 0.000 (multiplicity 1)
Y 0.000 0.500 0.500 (multiplicity 1)
Np 0.500 0.000 0.500 (multiplicity 1)
Np 0.500 0.500 0.000 (multiplicity 1)
P 0.259 0.000 0.751 (multiplicity 2)
P 0.259 0.500 0.256 (multiplicity 2)

---

3.
Computed, not measured: La3Pr4NbN8 after structural relaxation at the PBE-GGA level of DFT.

Computed properties:
DOS(E_F) in states/eV/cell: 8.68
Energy in eV for the cell shown: -390.261
Crystal system: trigonal
Uncorrected formation energy in eV per formula unit: -19.5

a = 7.2562 Å, b = 7.2562 Å, c = 17.7022 Å
α = 90.00°, β = 90.00°, γ = 120.00°
Space group R-3m (No. 166, hexagonal axes)
Asymmetric unit:
La 0.0000 0.5000 0.0000 (multiplicity 9)
Pr 0.0000 0.0000 0.5000 (multiplicity 3)
Pr 0.0000 0.5000 0.5000 (multiplicity 9)
Nb 0.0000 0.0000 0.0000 (multiplicity 3)
N 0.0000 0.0000 0.2492 (multiplicity 6)
N 0.0326 0.5163 0.7422 (multiplicity 18)

---

4.
Computed, not measured: CsFeAgSe3 after structural relaxation at the PBE-GGA level of DFT.

Computed properties:
DOS(E_F) in states/eV/cell: 8.88
Energy in eV for the cell shown: -101.317
Crystal system: monoclinic
Uncorrected formation energy in eV per formula unit: -2.7

a = 14.941 Å, b = 7.328 Å, c = 6.978 Å
α = 90.00°, β = 100.81°, γ = 90.00°
Space group C2/m (No. 12)
Asymmetric unit:
Cs 0.159 0.000 0.256 (multiplicity 4)
Fe 0.062 0.500 0.870 (multiplicity 4)
Ag 0.000 0.301 0.500 (multiplicity 4)
Se 0.099 0.500 0.208 (multiplicity 4)
Se 0.131 0.240 0.777 (multiplicity 8)

---

5.
Computed, not measured: CaLa2Pb9 after structural relaxation at the PBE-GGA level of DFT.

Computed properties:
DOS(E_F) in states/eV/cell: 6.01
Energy in eV for the cell shown: -50.087
Crystal system: tetragonal

a = 4.952 Å, b = 4.952 Å, c = 14.890 Å
α = 90.00°, β = 90.00°, γ = 90.00°
Space group P4/mmm (No. 123)
Asymmetric unit:
Ca 0.000 0.000 0.000 (multiplicity 1)
La 0.000 0.000 0.336 (multiplicity 2)
Pb 0.000 0.500 0.164 (multiplicity 4)
Pb 0.000 0.500 0.500 (multiplicity 2)
Pb 0.500 0.500 0.000 (multiplicity 1)
Pb 0.500 0.500 0.332 (multiplicity 2)

---

6.
Computed, not measured: SrCuTc2 after structural relaxation at the PBE-GGA level of DFT.

Computed properties:
DOS(E_F) in states/eV/cell: 22.12
Energy relative to the lowest polymorph listed for this composition in eV per atom: 0.599
Energy in eV for the cell shown: -91.688
Crystal system: tetragonal

a = 4.585 Å, b = 4.585 Å, c = 18.381 Å
α = 90.00°, β = 90.00°, γ = 90.00°
Space group I4_1/amd (No. 141, origin choice 2)
Asymmetric unit:
Sr 0.000 0.250 0.375 (multiplicity 4)
Cu 0.000 0.250 0.875 (multiplicity 4)
Tc 0.000 0.000 0.000 (multiplicity 8)

---

7.
Computed, not measured: NaMg2In2Au2 after structural relaxation at the PBE-GGA level of DFT.

Computed properties:
DOS(E_F) in states/eV/cell: 6.96
Energy in eV for the cell shown: -56.812
Crystal system: trigonal

a = 4.7710 Å, b = 4.7710 Å, c = 23.5009 Å
α = 90.00°, β = 90.00°, γ = 120.00°
Space group R-3m (No. 166, hexagonal axes)
Asymmetric unit:
Na 0.0000 0.0000 0.0000 (multiplicity 3)
Mg 0.0000 0.0000 0.1320 (multiplicity 6)
In 0.0000 0.0000 0.3959 (multiplicity 6)
Au 0.0000 0.0000 0.2481 (multiplicity 6)

---

8.
Computed, not measured: BaMgFe2Pt after structural relaxation at the PBE-GGA level of DFT.

Computed properties:
DOS(E_F) in states/eV/cell: 10.91
Energy relative to the lowest polymorph listed for this composition in eV per atom: 0.395
Energy in eV for the cell shown: -20.866
Crystal system: tetragonal

a = 4.755 Å, b = 4.755 Å, c = 5.820 Å
α = 90.00°, β = 90.00°, γ = 90.00°
Space group P4/mmm (No. 123)
Asymmetric unit:
Ba 0.000 0.000 0.000 (multiplicity 1)
Mg 0.500 0.500 0.000 (multiplicity 1)
Fe 0.000 0.500 0.500 (multiplicity 2)
Pt 0.000 0.000 0.500 (multiplicity 1)

---

9.
Computed, not measured: Cu2AgPb2 after structural relaxation at the PBE-GGA level of DFT.

Computed properties:
DOS(E_F) in states/eV/cell: 3.67
Energy relative to the lowest polymorph listed for this composition in eV per atom: 0.147
Energy in eV for the cell shown: -33.654
Crystal system: tetragonal

a = 7.969 Å, b = 7.969 Å, c = 3.385 Å
α = 90.00°, β = 90.00°, γ = 90.00°
Space group P4/mbm (No. 127)
Asymmetric unit:
Cu 0.113 0.387 0.000 (multiplicity 4)
Ag 0.000 0.000 0.500 (multiplicity 2)
Pb 0.178 0.678 0.500 (multiplicity 4)

---

10.
Computed, not measured: TiIn2Si after structural relaxation at the PBE-GGA level of DFT.

Computed properties:
DOS(E_F) in states/eV/cell: 14.16
Energy in eV for the cell shown: -70.551
Crystal system: tetragonal
Uncorrected formation energy in eV per formula unit: 1.2

a = 7.861 Å, b = 7.861 Å, c = 5.497 Å
α = 90.00°, β = 90.00°, γ = 90.00°
Space group I-42d (No. 122)
Asymmetric unit:
Ti 0.000 0.000 0.000 (multiplicity 4)
In 0.220 0.250 0.625 (multiplicity 8)
Si 0.000 0.000 0.500 (multiplicity 4)

---

11.
Computed, not measured: CsTe2Se2S6 after structural relaxation at the PBE-GGA level of DFT.

Computed properties:
DOS(E_F) in states/eV/cell: 2.61
Energy in eV for the cell shown: -40.013
Crystal system: triclinic
Uncorrected formation energy in eV per formula unit: -1.1

a = 7.159 Å, b = 7.556 Å, c = 8.257 Å
α = 77.45°, β = 65.59°, γ = 82.81°
Space group P-1 (No. 2)
Asymmetric unit:
Cs 0.000 0.000 0.000 (multiplicity 1)
Te 0.464 0.407 0.240 (multiplicity 2)
Se 0.457 0.804 0.329 (multiplicity 2)
S 0.240 0.526 0.030 (multiplicity 2)
S 0.267 0.707 0.623 (multiplicity 2)
S 0.338 0.077 0.250 (multiplicity 2)

---

12.
Computed, not measured: PdCS3 after structural relaxation at the PBE-GGA level of DFT.

Computed properties:
DOS(E_F) in states/eV/cell: 4.42
Energy relative to the lowest polymorph listed for this composition in eV per atom: 0.690
Energy in eV for the cell shown: -17.063
Crystal system: cubic
Uncorrected formation energy in eV per formula unit: 9.7

a = 4.703 Å, b = 4.703 Å, c = 4.703 Å
α = 90.00°, β = 90.00°, γ = 90.00°
Space group Pm-3m (No. 221)
Asymmetric unit:
Pd 0.000 0.000 0.000 (multiplicity 1)
C 0.500 0.500 0.500 (multiplicity 1)
S 0.000 0.000 0.500 (multiplicity 3)

---

13.
Computed, not measured: La2Pm3Y6 after structural relaxation at the PBE-GGA level of DFT.

Computed properties:
DOS(E_F) in states/eV/cell: 41.05
Energy relative to the lowest polymorph listed for this composition in eV per atom: 0.000
Energy in eV for the cell shown: -188.282
Crystal system: trigonal

a = 3.6305 Å, b = 3.6305 Å, c = 96.9483 Å
α = 90.00°, β = 90.00°, γ = 120.00°
Space group R-3m (No. 166, hexagonal axes)
Asymmetric unit:
La 0.0000 0.0000 0.0456 (multiplicity 6)
Pm 0.0000 0.0000 0.2270 (multiplicity 6)
Pm 0.0000 0.0000 0.5000 (multiplicity 3)
Y 0.0000 0.0000 0.1365 (multiplicity 6)
Y 0.0000 0.0000 0.3185 (multiplicity 6)
Y 0.0000 0.0000 0.4097 (multiplicity 6)

---

14.
Computed, not measured: Re3OsN after structural relaxation at the PBE-GGA level of DFT.

Computed properties:
DOS(E_F) in states/eV/cell: 6.17
Energy relative to the lowest polymorph listed for this composition in eV per atom: 3.138
Energy in eV for the cell shown: -39.714
Crystal system: cubic
Uncorrected formation energy in eV per formula unit: 17.2

a = 4.694 Å, b = 4.694 Å, c = 4.694 Å
α = 90.00°, β = 90.00°, γ = 90.00°
Space group Pm-3m (No. 221)
Asymmetric unit:
Re 0.000 0.000 0.500 (multiplicity 3)
Os 0.000 0.000 0.000 (multiplicity 1)
N 0.500 0.500 0.500 (multiplicity 1)

---

15.
Computed, not measured: K2ZnTc after structural relaxation at the PBE-GGA level of DFT.

Computed properties:
DOS(E_F) in states/eV/cell: 3.21
Energy in eV for the cell shown: -9.473
Crystal system: orthorhombic

a = 2.838 Å, b = 5.670 Å, c = 5.857 Å
α = 90.00°, β = 90.00°, γ = 90.00°
Space group Pmmm (No. 47)
Asymmetric unit:
K 0.000 0.000 0.247 (multiplicity 2)
Zn 0.500 0.500 0.500 (multiplicity 1)
Tc 0.500 0.500 0.000 (multiplicity 1)

---

16.
Computed, not measured: Ta2Zn2Ru3 after structural relaxation at the PBE-GGA level of DFT.

Computed properties:
DOS(E_F) in states/eV/cell: 3.64
Energy in eV for the cell shown: -55.866
Crystal system: triclinic

a = 4.378 Å, b = 4.406 Å, c = 6.817 Å
α = 104.57°, β = 93.87°, γ = 119.28°
Space group P-1 (No. 2)
Asymmetric unit:
Ta 0.227 0.422 0.154 (multiplicity 2)
Zn 0.340 0.751 0.587 (multiplicity 2)
Ru 0.064 0.181 0.738 (multiplicity 2)
Ru 0.500 0.000 0.000 (multiplicity 1)

---

17.
Computed, not measured: Mg6SbAu12 after structural relaxation at the PBE-GGA level of DFT.

Computed properties:
DOS(E_F) in states/eV/cell: 18.63
Energy in eV for the cell shown: -171.079
Crystal system: trigonal
Uncorrected formation energy in eV per formula unit: -4.0

a = 10.5619 Å, b = 10.5619 Å, c = 12.9876 Å
α = 90.00°, β = 90.00°, γ = 120.00°
Space group R-3 (No. 148, hexagonal axes)
Asymmetric unit:
Mg 0.0483 0.4746 0.3153 (multiplicity 18)
Sb 0.0000 0.0000 0.0000 (multiplicity 3)
Au 0.0529 0.1989 0.8546 (multiplicity 18)
Au 0.0745 0.4933 0.0957 (multiplicity 18)

---

18.
Computed, not measured: K2GaCl after structural relaxation at the PBE-GGA level of DFT.

Computed properties:
DOS(E_F) in states/eV/cell: 23.76
Energy relative to the lowest polymorph listed for this composition in eV per atom: 0.142
Energy in eV for the cell shown: -35.564
Crystal system: cubic
Uncorrected formation energy in eV per formula unit: -1.8

a = 8.304 Å, b = 8.304 Å, c = 8.304 Å
α = 90.00°, β = 90.00°, γ = 90.00°
Space group Fm-3m (No. 225)
Asymmetric unit:
K 0.250 0.250 0.250 (multiplicity 8)
Ga 0.000 0.000 0.000 (multiplicity 4)
Cl 0.000 0.000 0.500 (multiplicity 4)

---

19.
Computed, not measured: CsGaBr4 after structural relaxation at the PBE-GGA level of DFT.

Computed properties:
DOS(E_F) in states/eV/cell: 0.00
Energy relative to the lowest polymorph listed for this composition in eV per atom: 0.000
Energy in eV for the cell shown: -72.047
Crystal system: orthorhombic
Uncorrected formation energy in eV per formula unit: -7.4

a = 12.684 Å, b = 7.656 Å, c = 10.343 Å
α = 90.00°, β = 90.00°, γ = 90.00°
Space group Pnma (No. 62)
Asymmetric unit:
Cs 0.180 0.250 0.160 (multiplicity 4)
Ga 0.065 0.250 0.702 (multiplicity 4)
Br 0.090 0.000 0.834 (multiplicity 8)
Br 0.109 0.750 0.377 (multiplicity 4)
Br 0.195 0.250 0.538 (multiplicity 4)

---

20.
Computed, not measured: NiRuSe after structural relaxation at the PBE-GGA level of DFT.

Computed properties:
DOS(E_F) in states/eV/cell: 1.79
Energy relative to the lowest polymorph listed for this composition in eV per atom: 0.058
Energy in eV for the cell shown: -17.911
Crystal system: trigonal
Uncorrected formation energy in eV per formula unit: 0.6

a = 3.9668 Å, b = 3.9668 Å, c = 3.1971 Å
α = 90.00°, β = 90.00°, γ = 120.00°
Space group P3m1 (No. 156)
Asymmetric unit:
Ni 0.0000 0.0000 0.0000 (multiplicity 1)
Ru 0.3333 0.6667 0.4907 (multiplicity 1)
Se 0.6667 0.3333 0.6967 (multiplicity 1)